[1]
VASP calculation (GGA-PBE) on a relaxed structure of SbRu3C.

The structure belongs to space group Pm-3m (No. 221); the cell edges are 4.855, 4.855 and 4.855 Å and the angles 90.00°, 90.00° and 90.00°. The distinct sites, in fractional coordinates, are Sb at (0.000, 0.000, 0.000), Ru at (0.000, 0.000, 0.500) and C at (0.500, 0.500, 0.500).

Its excess energy over the best structure of this formula in the dataset is 13.82 eV/f.u. Its total energy is -5.26 eV per atom.



[2]
VASP calculation (GGA-PBE) on a relaxed structure of Sb2RuC2.

The structure belongs to space group I4/mmm (No. 139); the cell edges are 3.149, 3.149 and 14.552 Å and the angles 90.00°, 90.00° and 90.00°. The distinct sites, in fractional coordinates, are Sb at (0.000, 0.000, 0.119), Ru at (0.000, 0.000, 0.500) and C at (0.000, 0.500, 0.250).

Its excess energy over the best structure of this formula in the dataset is 0.00 eV/f.u. Its total energy is -5.55 eV per atom.



[3]
VASP calculation (GGA-PBE) on a relaxed structure of SbRu3C.

The structure belongs to space group Pm-3m (No. 221); the cell edges are 4.112, 4.112 and 4.112 Å and the angles 90.00°, 90.00° and 90.00°. The distinct sites, in fractional coordinates, are Sb at (0.000, 0.000, 0.000), Ru at (0.000, 0.500, 0.500) and C at (0.500, 0.500, 0.500).

Its excess energy over the best structure of this formula in the dataset is 0.00 eV/f.u. Its total energy is -8.02 eV per atom.



[4]
VASP calculation (GGA-PBE) on a relaxed structure of Sb3RuC.

The structure belongs to space group Pm-3m (No. 221); the cell edges are 5.089, 5.089 and 5.089 Å and the angles 90.00°, 90.00° and 90.00°. The distinct sites, in fractional coordinates, are Sb at (0.000, 0.000, 0.500), Ru at (0.000, 0.000, 0.000) and C at (0.500, 0.500, 0.500).

Its excess energy over the best structure of this formula in the dataset is 2.23 eV/f.u. Its total energy is -4.54 eV per atom.



What did we get for energy relative to the elements, uncorrected? Answer: 2.976 1.645 0.212 1.632 eV per atom, in the order shown.